# AcThNi (PBE, relaxed)
data_AcThNi
_chemical_formula_sum 'Ac1 Th1 Ni1'
_cell_length_a 3.806
_cell_length_b 6.465
_cell_length_c 6.465
_cell_angle_alpha 33.93
_cell_angle_beta 90.00
_cell_angle_gamma 90.00
_symmetry_space_group_name_H-M 'P 1'
_symmetry_Int_Tables_number 1
_symmetry_space_group_name_Hall 'P 1'
loop_
_atom_site_label
_atom_site_fract_x
_atom_site_fract_y
_atom_site_fract_z
Ac1 0.000 0.000 0.000
Th1 0.500 0.725 0.725
Ni1 0.000 0.296 0.296
# - density (g cm⁻³) = 9.7
# - energy relative to the elements (eV per atom) = -0.112
# - magnetization (μB/f.u.) = 0.00
# - crystal system = orthorhombic
# - electronic total energy (eV/atom) = -5.882